[1]
# Na2Cd10In | Alexandria | PBE | relaxed
data_Na2Cd10In
_symmetry_space_group_name_H-M 'P 1'
_symmetry_Int_Tables_number 1
_cell_length_a 6.001
_cell_length_b 12.286
_cell_length_c 10.564
_cell_angle_alpha 90.00
_cell_angle_beta 90.00
_cell_angle_gamma 90.00
loop_
_symmetry_equiv_pos_as_xyz
'x,y,z'
loop_
_atom_site_label
_atom_site_type_symbol
_atom_site_fract_x
_atom_site_fract_y
_atom_site_fract_z
Na1 Na 0.500 0.130 0.379
Cd1 Cd 0.000 0.954 0.731
Na2 Na 0.500 0.370 0.879
Cd2 Cd 0.269 0.195 0.094
Cd3 Cd 0.000 0.113 0.534
In1 In 0.000 0.500 0.500
Cd4 Cd 0.000 0.301 0.323
Cd5 Cd 0.000 0.699 0.677
Cd6 Cd 0.731 0.695 0.406
Cd7 Cd 0.000 0.801 0.177
Na3 Na 0.500 0.870 0.621
Cd8 Cd 0.269 0.695 0.406
Cd9 Cd 0.731 0.805 0.906
Cd10 Cd 0.731 0.305 0.594
Cd11 Cd 0.731 0.195 0.094
Cd12 Cd 0.269 0.805 0.906
In2 In 0.000 0.000 0.000
Cd13 Cd 0.000 0.387 0.034
Na4 Na 0.500 0.630 0.121
Cd14 Cd 0.000 0.887 0.466
Cd15 Cd 0.269 0.305 0.594
Cd16 Cd 0.000 0.046 0.269
Cd17 Cd 0.000 0.454 0.769
Cd18 Cd 0.000 0.199 0.823
Cd19 Cd 0.000 0.546 0.231
Cd20 Cd 0.000 0.613 0.966
# Energy of formation ... 1.480 kcal/mol of atoms
# Fermi-level density of states ... 11.00 states/eV per cell
# Calculated volume ... 778.9 Å³ per cell
# ρ ... 5.48 Mg/m³


[2]
# NaCd4In7 | Alexandria | PBE | relaxed
data_NaCd4In7
_symmetry_space_group_name_H-M 'P 1'
_symmetry_Int_Tables_number 1
_cell_length_a 5.798
_cell_length_b 9.320
_cell_length_c 7.126
_cell_angle_alpha 84.61
_cell_angle_beta 66.00
_cell_angle_gamma 71.88
loop_
_symmetry_equiv_pos_as_xyz
'x,y,z'
loop_
_atom_site_label
_atom_site_type_symbol
_atom_site_fract_x
_atom_site_fract_y
_atom_site_fract_z
In1 In 0.787 0.908 0.518
Cd1 Cd 0.727 0.682 0.864
Na1 Na 0.000 0.000 0.000
Cd2 Cd 0.448 0.763 0.342
In2 In 0.656 0.416 0.272
In3 In 0.500 0.000 0.000
In4 In 0.213 0.092 0.482
Cd3 Cd 0.552 0.237 0.658
In5 In 0.344 0.584 0.728
In6 In 0.924 0.355 0.798
In7 In 0.076 0.645 0.202
Cd4 Cd 0.273 0.318 0.136
# Energy of formation ... 1.662 kcal/mol of atoms
# Fermi-level density of states ... 5.81 states/eV per cell
# Calculated volume ... 334.1 Å³ per cell
# ρ ... 6.34 Mg/m³


[3]
# NaCd8In4 | Alexandria | PBE | relaxed
data_NaCd8In4
_symmetry_space_group_name_H-M 'P 1'
_symmetry_Int_Tables_number 1
_cell_length_a 8.729
_cell_length_b 8.729
_cell_length_c 8.729
_cell_angle_alpha 48.78
_cell_angle_beta 48.78
_cell_angle_gamma 48.78
loop_
_symmetry_equiv_pos_as_xyz
'x,y,z'
loop_
_atom_site_label
_atom_site_type_symbol
_atom_site_fract_x
_atom_site_fract_y
_atom_site_fract_z
In1 In 0.500 0.000 0.500
Cd1 Cd 0.832 0.245 0.245
In2 In 0.500 0.500 0.000
Cd2 Cd 0.168 0.755 0.755
Cd3 Cd 0.755 0.168 0.755
In3 In 0.500 0.500 0.500
Na1 Na 0.000 0.000 0.000
Cd4 Cd 0.245 0.832 0.245
Cd5 Cd 0.226 0.226 0.226
Cd6 Cd 0.774 0.774 0.774
Cd7 Cd 0.245 0.245 0.832
In4 In 0.000 0.500 0.500
Cd8 Cd 0.755 0.755 0.168
# Energy of formation ... 2.114 kcal/mol of atoms
# Fermi-level density of states ... 5.55 states/eV per cell
# Calculated volume ... 345.4 Å³ per cell
# ρ ... 6.64 Mg/m³


[4]
# Na2CdIn9 | Alexandria | PBE | relaxed
data_Na2CdIn9
_symmetry_space_group_name_H-M 'P 1'
_symmetry_Int_Tables_number 1
_cell_length_a 4.748
_cell_length_b 4.748
_cell_length_c 13.990
_cell_angle_alpha 90.00
_cell_angle_beta 90.00
_cell_angle_gamma 90.00
loop_
_symmetry_equiv_pos_as_xyz
'x,y,z'
loop_
_atom_site_label
_atom_site_type_symbol
_atom_site_fract_x
_atom_site_fract_y
_atom_site_fract_z
In1 In 0.500 0.000 0.165
In2 In 0.500 0.500 0.664
In3 In 0.500 0.000 0.835
In4 In 0.000 0.500 0.835
In5 In 0.500 0.000 0.500
In6 In 0.500 0.500 0.000
In7 In 0.000 0.500 0.500
Na1 Na 0.000 0.000 0.334
In8 In 0.500 0.500 0.336
Na2 Na 0.000 0.000 0.666
Cd1 Cd 0.000 0.000 0.000
In9 In 0.000 0.500 0.165
# Energy of formation ... -1.061 kcal/mol of atoms
# Fermi-level density of states ... 5.28 states/eV per cell
# Calculated volume ... 315.4 Å³ per cell
# ρ ... 6.27 Mg/m³


[5]
# NaCd3In3 | Alexandria | PBE | relaxed
data_NaCd3In3
_symmetry_space_group_name_H-M 'P 1'
_symmetry_Int_Tables_number 1
_cell_length_a 8.110
_cell_length_b 8.110
_cell_length_c 8.110
_cell_angle_alpha 90.00
_cell_angle_beta 90.00
_cell_angle_gamma 90.00
loop_
_symmetry_equiv_pos_as_xyz
'x,y,z'
loop_
_atom_site_label
_atom_site_type_symbol
_atom_site_fract_x
_atom_site_fract_y
_atom_site_fract_z
Na1 Na 0.000 0.000 0.000
In1 In 0.250 0.000 0.500
Cd1 Cd 0.750 0.500 0.000
Cd2 Cd 0.500 0.000 0.750
Cd3 Cd 0.000 0.250 0.500
Cd4 Cd 0.000 0.750 0.500
Na2 Na 0.500 0.500 0.500
Cd5 Cd 0.250 0.500 0.000
In2 In 0.500 0.750 0.000
Cd6 Cd 0.500 0.000 0.250
In3 In 0.500 0.250 0.000
In4 In 0.000 0.500 0.750
In5 In 0.750 0.000 0.500
In6 In 0.000 0.500 0.250
# Energy of formation ... 5.945 kcal/mol of atoms
# Fermi-level density of states ... 10.97 states/eV per cell
# Calculated volume ... 533.3 Å³ per cell
# ρ ... 4.39 Mg/m³


[6]
# Na3Cd9In2 | Alexandria | PBE | relaxed
data_Na3Cd9In2
_symmetry_space_group_name_H-M 'P 1'
_symmetry_Int_Tables_number 1
_cell_length_a 4.754
_cell_length_b 9.027
_cell_length_c 9.027
_cell_angle_alpha 78.32
_cell_angle_beta 74.73
_cell_angle_gamma 74.73
loop_
_symmetry_equiv_pos_as_xyz
'x,y,z'
loop_
_atom_site_label
_atom_site_type_symbol
_atom_site_fract_x
_atom_site_fract_y
_atom_site_fract_z
Na1 Na 0.717 0.283 0.283
Cd1 Cd 0.633 0.742 0.992
Na2 Na 0.283 0.717 0.717
Cd2 Cd 0.367 0.258 0.008
Cd3 Cd 0.000 0.500 0.500
In1 In 0.500 0.340 0.660
Cd4 Cd 0.847 0.873 0.433
In2 In 0.500 0.660 0.340
Cd5 Cd 0.633 0.992 0.742
Na3 Na 0.000 0.000 0.000
Cd6 Cd 0.847 0.433 0.873
Cd7 Cd 0.153 0.567 0.127
Cd8 Cd 0.153 0.127 0.567
Cd9 Cd 0.367 0.008 0.258
# Energy of formation ... -1.360 kcal/mol of atoms
# Fermi-level density of states ... 6.19 states/eV per cell
# Calculated volume ... 356.8 Å³ per cell
# ρ ... 6.10 Mg/m³